Record 1
15
Lattice="7.722 0.000 0.000 -3.861 6.687 0.000 0.000 0.000 6.733" Properties=species:S:1:pos:R:3 comment="Ac3AlAg2Pd9, relaxed, DFT PBE" sg=P-3m1 total_magnetization_mub_per_atom=0.000 e_tot_ha_per_atom=-0.1802 pbc="T T T"
Ag 0.000 4.458 1.320
Pd -2.078 5.658 2.238
Pd 5.939 1.029 4.495
Ag 3.861 2.229 5.412
Pd -1.930 3.344 0.000
Pd 2.078 5.658 2.238
Al 0.000 0.000 3.366
Ac 0.000 4.458 4.587
Pd 1.783 1.029 4.495
Pd 3.861 0.000 0.000
Ac 0.000 0.000 0.000
Pd 3.861 4.628 4.495
Ac 3.861 2.229 2.146
Pd 0.000 2.059 2.238
Pd 1.930 3.344 0.000

Record 2
4
Lattice="5.462 0.000 0.000 2.731 4.731 0.000 2.731 1.577 4.460" Properties=species:S:1:pos:R:3 comment="AcPmAlAg, relaxed, DFT PBE" sg=F-43m total_magnetization_mub_per_atom=0.000 e_tot_ha_per_atom=-0.1506 pbc="T T T"
Ag 2.731 1.577 1.115
Pm 0.000 0.000 0.000
Al 8.194 4.731 3.345
Ac 5.462 3.154 2.230